ScFeCoSn, relaxed, DFT GGA-PBE; space-group type = No. 216; formation enthalpy at 0 K = -277 meV per atom; crystal system = cubic
1.0
0.000 3.091 3.091
3.091 0.000 3.091
3.091 3.091 0.000
Sc Fe Co Sn
1 1 1 1
Cartesian
0.000 0.000 0.000
1.545 1.545 1.545
4.636 4.636 4.636
3.091 3.091 3.091

***

Ce2BPd6, relaxed, DFT GGA-PBE; space-group type = No. 123; formation enthalpy at 0 K = -638 meV per atom; crystal system = tetragonal
1.0
4.371 0.000 0.000
0.000 4.371 0.000
0.000 0.000 8.192
Ce B Pd
2 1 6
Cartesian
0.000 0.000 2.014
0.000 0.000 6.178
2.185 2.185 4.096
0.000 2.185 0.000
0.000 2.185 4.096
2.185 0.000 0.000
2.185 0.000 4.096
2.185 2.185 1.940
2.185 2.185 6.252

***

Tm2Ti2Sb2C, relaxed, DFT GGA-PBE; space-group type = No. 139; formation energy (no corrections) = -0.817 eV per atom; crystal system = tetragonal
1.0
-2.140 2.140 7.651
2.140 -2.140 7.651
2.140 2.140 -7.651
Tm Ti Sb C
2 2 2 1
Cartesian
0.000 0.000 2.464
0.000 0.000 12.838
2.140 0.000 0.000
0.000 2.140 0.000
0.000 0.000 5.580
0.000 0.000 9.722
0.000 0.000 0.000

***

BaLaSi2Ni, relaxed, DFT GGA-PBE; space-group type = No. 123; formation energy (no corrections) = 0.516 eV per atom; crystal system = tetragonal
1.0
5.632 0.000 0.000
0.000 5.632 0.000
0.000 0.000 4.964
Ba La Si Ni
1 1 2 1
Cartesian
0.000 0.000 0.000
2.816 2.816 2.482
0.000 2.816 2.482
2.816 0.000 2.482
2.816 2.816 0.000

***

FeNi3Ir, relaxed, DFT GGA-PBE; space-group type = No. 63; formation enthalpy at 0 K = 95 meV per atom; crystal system = orthorhombic
1.0
2.082 -5.816 0.000
2.082 5.816 0.000
0.000 0.000 5.090
Fe Ni Ir
2 6 2
Cartesian
2.082 3.563 3.818
2.082 -3.563 1.273
2.082 3.613 1.273
2.082 1.434 2.552
2.082 1.434 5.083
2.082 -1.434 0.007
2.082 -1.434 2.538
2.082 -3.613 3.818
0.000 0.000 0.000
0.000 0.000 2.545

***

Sm4GePb, relaxed, DFT GGA-PBE; space-group type = No. 11; formation enthalpy at 0 K = -514 meV per atom; crystal system = monoclinic
1.0
6.355 0.000 0.000
0.000 6.634 0.000
-3.065 0.000 8.533
Sm Ge Pb
8 2 2
Cartesian
0.873 1.658 0.783
-0.614 3.322 6.565
-0.614 6.628 6.565
0.632 4.975 3.308
2.658 1.658 5.225
3.904 0.005 1.968
3.904 3.312 1.968
2.417 4.975 7.750
1.797 4.975 0.529
1.493 1.658 8.004
-0.233 1.658 3.776
3.523 4.975 4.757

***

TmPuFeCu, relaxed, DFT GGA-PBE; space-group type = No. 216; formation enthalpy at 0 K = 49 meV per atom; crystal system = cubic
1.0
0.000 3.381 3.381
3.381 0.000 3.381
3.381 3.381 0.000
Tm Pu Fe Cu
1 1 1 1
Cartesian
0.000 0.000 0.000
3.381 3.381 3.381
5.072 5.072 5.072
1.691 1.691 1.691

***

MnCoAg4, relaxed, DFT GGA-PBE; space-group type = No. 216; formation enthalpy at 0 K = 599 meV per atom; crystal system = cubic
1.0
0.000 3.790 3.790
3.790 0.000 3.790
3.790 3.790 0.000
Mn Co Ag
1 1 4
Cartesian
0.000 0.000 0.000
1.895 1.895 1.895
4.737 2.843 2.843
2.843 4.737 2.843
2.843 2.843 4.737
4.737 4.737 4.737

***

| no. | theoretical density (g cm⁻³) |
| --- | --- |
| 1 | 7.83 |
| 2 | 9.86 |
| 3 | 8.17 |
| 4 | 4.13 |
| 5 | 11.43 |
| 6 | 8.14 |
| 7 | 11.43 |
| 8 | 8.32 |